# TlGa2CoSn PBE optimized geometry
# **Calculated formation energy**: -25.6 meV/atom
# **Volume**: 21.9 Å³ per atom
# **D(E_F)**: 2.703 states/eV/cell
data_TlGa2CoSn
_cell_length_a 4.661
_cell_length_b 4.661
_cell_length_c 5.040
_cell_angle_alpha 90.00
_cell_angle_beta 90.00
_cell_angle_gamma 90.00
_symmetry_space_group_name_H-M 'P 4/m m m'
_symmetry_Int_Tables_number 123
_symmetry_space_group_name_Hall '-P 4 2'
loop_
_atom_site_label
_atom_site_fract_x
_atom_site_fract_y
_atom_site_fract_z
_atom_site_occupancy
Tl1 0.000 0.000 0.000 1
Ga1 0.000 0.500 0.500 1
Co1 0.500 0.500 0.500 1
Sn1 0.500 0.500 0.000 1